1.
! Sc2SbRu PBEsol optimized geometry; values from VASP
! SG: Pmm2, No. 25
! D(E_F), states/eV/f.u.: 1.969
! Magnetic moment, μB per cell: 0.0
! ΔE_f (raw), eV per atom: -0.349
! Electronic total energy, eV/f.u.: -29.337
&SYSTEM
  ibrav = 0, nat = 4, ntyp = 3
/
ATOMIC_SPECIES
Sc 44.96 Sc.upf
Sb 121.76 Sb.upf
Ru 101.07 Ru.upf
ATOMIC_POSITIONS crystal
Sc 0.000 0.000 0.000
Sc 0.500 0.500 0.305
Sb 0.500 0.500 0.788
Ru 0.000 0.000 0.420
CELL_PARAMETERS angstrom
3.270 0.000 0.000
0.000 4.240 0.000
0.000 0.000 5.828

***

2.
! BeCuOs2 PBEsol optimized geometry; values from VASP
! SG: Cmm2, No. 35
! Energy relative to the elements, kJ per mole of atoms: 40
! D(E_F), states/eV/f.u.: 3.734
! Magnetic moment, μB per cell: 0.0
! Electronic total energy, eV/f.u.: -31.128
&SYSTEM
  ibrav = 0, nat = 4, ntyp = 3
/
ATOMIC_SPECIES
Be 9.01 Be.upf
Cu 63.55 Cu.upf
Os 190.23 Os.upf
ATOMIC_POSITIONS crystal
Be 0.000 0.000 0.000
Cu 0.500 0.500 0.782
Os 0.000 0.000 0.509
Os 0.500 0.500 0.233
CELL_PARAMETERS angstrom
1.364 -2.234 0.000
1.364 2.234 0.000
0.000 0.000 8.249

***

3.
! TmP5O14 PBEsol optimized geometry; values from VASP
! SG: C2/c, No. 15
! D(E_F), states/eV/f.u.: 0.000
! Magnetic moment, μB per cell: 0.0
! ΔE_f (raw), eV per atom: -2.371
! Electronic total energy, eV/f.u.: -154.760
&SYSTEM
  ibrav = 0, nat = 80, ntyp = 3
/
ATOMIC_SPECIES
Tm 168.93 Tm.upf
P 30.97 P.upf
O 16.00 O.upf
ATOMIC_POSITIONS crystal
Tm 0.019 0.981 0.750
Tm 0.468 0.532 0.750
Tm 0.532 0.468 0.250
Tm 0.981 0.019 0.250
P 0.021 0.682 0.395
P 0.073 0.580 0.740
P 0.112 0.177 0.000
P 0.177 0.112 0.500
P 0.183 0.451 0.110
P 0.318 0.979 0.105
P 0.328 0.625 0.466
P 0.375 0.672 0.034
P 0.420 0.927 0.760
P 0.451 0.183 0.610
P 0.549 0.817 0.390
P 0.580 0.073 0.240
P 0.625 0.328 0.966
P 0.672 0.375 0.534
P 0.682 0.021 0.895
P 0.817 0.549 0.890
P 0.823 0.888 0.500
P 0.888 0.823 0.000
P 0.927 0.420 0.260
P 0.979 0.318 0.605
O 0.007 0.484 0.637
O 0.013 0.142 0.091
O 0.030 0.479 0.164
O 0.038 0.782 0.304
O 0.040 0.735 0.714
O 0.070 0.146 0.886
O 0.108 0.277 0.525
O 0.142 0.013 0.591
O 0.146 0.070 0.386
O 0.150 0.351 0.006
O 0.157 0.673 0.476
O 0.211 0.604 0.056
O 0.218 0.962 0.196
O 0.224 0.528 0.768
O 0.265 0.960 0.786
O 0.277 0.108 0.025
O 0.302 0.393 0.180
O 0.327 0.843 0.024
O 0.348 0.534 0.365
O 0.351 0.150 0.506
O 0.377 0.575 0.574
O 0.393 0.302 0.680
O 0.396 0.789 0.444
O 0.425 0.623 0.926
O 0.466 0.652 0.135
O 0.472 0.776 0.732
O 0.479 0.030 0.664
O 0.484 0.007 0.137
O 0.516 0.993 0.863
O 0.521 0.970 0.336
O 0.528 0.224 0.268
O 0.534 0.348 0.865
O 0.575 0.377 0.074
O 0.604 0.211 0.556
O 0.607 0.698 0.320
O 0.623 0.425 0.426
O 0.649 0.850 0.494
O 0.652 0.466 0.635
O 0.673 0.157 0.976
O 0.698 0.607 0.820
O 0.723 0.892 0.975
O 0.735 0.040 0.214
O 0.776 0.472 0.232
O 0.782 0.038 0.804
O 0.789 0.396 0.944
O 0.843 0.327 0.524
O 0.850 0.649 0.994
O 0.854 0.930 0.614
O 0.858 0.987 0.409
O 0.892 0.723 0.475
O 0.930 0.854 0.114
O 0.960 0.265 0.286
O 0.962 0.218 0.696
O 0.970 0.521 0.836
O 0.987 0.858 0.909
O 0.993 0.516 0.363
CELL_PARAMETERS angstrom
6.438 -6.380 0.000
6.438 6.380 0.000
-0.307 0.000 12.354

***

4.
! LiY2Al2 PBEsol optimized geometry; values from VASP
! SG: P4/mbm, No. 127
! Energy relative to the elements, kJ per mole of atoms: -26
! D(E_F), states/eV/f.u.: 4.291
! Magnetic moment, μB per cell: 0.0
! Electronic total energy, eV/f.u.: -25.130
&SYSTEM
  ibrav = 0, nat = 10, ntyp = 3
/
ATOMIC_SPECIES
Li 6.94 Li.upf
Y 88.91 Y.upf
Al 26.98 Al.upf
ATOMIC_POSITIONS crystal
Li 0.000 0.000 0.000
Li 0.500 0.500 0.000
Y 0.166 0.334 0.500
Y 0.334 0.834 0.500
Y 0.666 0.166 0.500
Y 0.834 0.666 0.500
Al 0.133 0.633 0.000
Al 0.367 0.133 0.000
Al 0.633 0.867 0.000
Al 0.867 0.367 0.000
CELL_PARAMETERS angstrom
7.160 0.000 0.000
0.000 7.160 0.000
0.000 0.000 4.531

***

5.
! SrNi2Sb PBEsol optimized geometry; values from VASP
! SG: R3m, No. 160
! D(E_F), states/eV/f.u.: 2.421
! Magnetic moment, μB per cell: 0.0
! ΔE_f (raw), eV per atom: -0.391
! Electronic total energy, eV/f.u.: -20.278
&SYSTEM
  ibrav = 0, nat = 4, ntyp = 3
/
ATOMIC_SPECIES
Sr 87.62 Sr.upf
Ni 58.69 Ni.upf
Sb 121.76 Sb.upf
ATOMIC_POSITIONS crystal
Sr 0.000 0.000 0.000
Ni 0.471 0.471 0.471
Ni 0.799 0.799 0.799
Sb 0.192 0.192 0.192
CELL_PARAMETERS angstrom
2.080 1.201 5.549
-2.080 1.201 5.549
0.000 -2.402 5.549

***

6.
! CaMg3 PBEsol optimized geometry; values from VASP
! SG: Pnma, No. 62
! Energy relative to the elements, kJ per mole of atoms: -1
! D(E_F), states/eV/f.u.: 2.298
! Magnetic moment, μB per cell: 0.0
! Electronic total energy, eV/f.u.: -7.334
&SYSTEM
  ibrav = 0, nat = 16, ntyp = 2
/
ATOMIC_SPECIES
Ca 40.08 Ca.upf
Mg 24.30 Mg.upf
ATOMIC_POSITIONS crystal
Ca 0.044 0.250 0.079
Ca 0.456 0.750 0.579
Ca 0.544 0.250 0.421
Ca 0.956 0.750 0.921
Mg 0.060 0.250 0.589
Mg 0.202 0.507 0.330
Mg 0.202 0.993 0.330
Mg 0.298 0.007 0.830
Mg 0.298 0.493 0.830
Mg 0.440 0.750 0.089
Mg 0.560 0.250 0.911
Mg 0.702 0.507 0.170
Mg 0.702 0.993 0.170
Mg 0.798 0.007 0.670
Mg 0.798 0.493 0.670
Mg 0.940 0.750 0.411
CELL_PARAMETERS angstrom
6.151 0.000 0.000
0.000 10.510 0.000
0.000 0.000 6.558

***

7.
! Ba2As2Br PBEsol optimized geometry; values from VASP
! SG: P4/mbm, No. 127
! D(E_F), states/eV/f.u.: 4.622
! Magnetic moment, μB per cell: 0.0
! ΔE_f (raw), eV per atom: -1.241
! Electronic total energy, eV/f.u.: -22.583
&SYSTEM
  ibrav = 0, nat = 10, ntyp = 3
/
ATOMIC_SPECIES
Ba 137.33 Ba.upf
As 74.92 As.upf
Br 79.90 Br.upf
ATOMIC_POSITIONS crystal
Ba 0.187 0.313 0.000
Ba 0.313 0.813 0.000
Ba 0.687 0.187 0.000
Ba 0.813 0.687 0.000
As 0.095 0.595 0.500
As 0.405 0.095 0.500
As 0.595 0.905 0.500
As 0.905 0.405 0.500
Br 0.000 0.000 0.000
Br 0.500 0.500 0.000
CELL_PARAMETERS angstrom
8.814 0.000 0.000
0.000 8.814 0.000
0.000 0.000 4.264

***

8.
! CaTlTe2 PBEsol optimized geometry; values from VASP
! SG: I4/mmm, No. 139
! D(E_F), states/eV/f.u.: 2.596
! Magnetic moment, μB per cell: 0.0
! ΔE_f (raw), eV per atom: -0.714
! Electronic total energy, eV/f.u.: -14.673
&SYSTEM
  ibrav = 0, nat = 4, ntyp = 3
/
ATOMIC_SPECIES
Ca 40.08 Ca.upf
Tl 204.38 Tl.upf
Te 127.60 Te.upf
ATOMIC_POSITIONS crystal
Ca 0.000 0.000 0.000
Tl 0.500 0.500 0.000
Te 0.250 0.750 0.500
Te 0.750 0.250 0.500
CELL_PARAMETERS angstrom
-2.634 2.634 4.228
2.634 -2.634 4.228
2.634 2.634 -4.228